# GGA-PBE Cd14GaHg, optimized geometry
data_Cd14GaHg
_symmetry_space_group_name_H-M 'A m m 2'
_symmetry_Int_Tables_number 38
_symmetry_space_group_name_Hall 'A 2 -2'
_cell_length_a 10.3161
_cell_length_b 6.7379
_cell_length_c 10.4237
_cell_angle_alpha 90.00
_cell_angle_beta 90.00
_cell_angle_gamma 90.00
loop_
_atom_site_label
_atom_site_fract_x
_atom_site_fract_y
_atom_site_fract_z
Cd1 0.0000 0.0000 0.0000
Cd2 0.0000 0.0000 0.4961
Cd3 0.0000 0.2502 0.2478
Cd4 0.2495 0.2480 0.9043
Cd5 0.2497 0.0000 0.6525
Cd6 0.2551 0.0000 0.1571
Cd7 0.5000 0.2480 0.0610
Ga1 0.5000 0.0000 0.3168
Hg1 0.5000 0.0000 0.8102
# E, eV for the cell shown: -31.57
# Energy relative to the elements, eV/atom: 0.0223
# Total magnetic moment, μB per atom: 0.00
# Calculated volume, Å³/cell: 725
# ρ, g/cm³: 8.453
# Density of states at the Fermi level, states/eV/f.u.: 4.47